TcHSe2 after structural relaxation, computed with PBE.

abc: 4.299 4.299 4.299
angles: 60.00 60.00 60.00
Atoms (fractional coordinates):
Tc: 0.500 0.500 0.500
Se: 0.750 0.750 0.750
Se: 0.250 0.250 0.250
H: 0.000 0.000 0.000

Calculated values
Its space-group type is Fm-3m. Its density of states at the Fermi level is 1.06 states/eV per atom. As for the crystal system: cubic. The magnetization comes out at 0.00 μB per cell. The raw total energy is -4.7201 eV per atom.